[1]
DFT (PBE-GGA) results for an optimized crystal structure of YMg8Ag4.

a = 5.6556 Å, b = 7.5020 Å, c = 7.5020 Å
α = 81.83°, β = 67.86°, γ = 67.86°
With the nearest neighbours (Å) after each atom.
Sites, in units of the cell vectors:
1 Y 0.0000 0.0000 0.0000  12 Mg 3.37-3.52, 8 Ag 3.75
2 Mg 0.0000 0.3425 0.6575  4 Ag 2.98, 5 Mg 3.10-3.22
3 Mg 0.0000 0.6575 0.3425  4 Ag 2.98, 5 Mg 3.10-3.22
4 Mg 0.3425 0.6575 0.6575  4 Ag 2.98, 5 Mg 3.10-3.22
5 Mg 0.6575 0.3425 0.3425  4 Ag 2.98, 5 Mg 3.10-3.22
6 Mg 0.5000 0.7869 0.2131  4 Ag 2.86, 4 Mg 2.96-3.10
7 Mg 0.5000 0.2131 0.7869  4 Ag 2.86, 4 Mg 2.96-3.10
8 Mg 0.2869 0.2131 0.2131  4 Ag 2.86, 4 Mg 2.96-3.10
9 Mg 0.7131 0.7869 0.7869  4 Ag 2.86, 4 Mg 2.96-3.10
10 Ag 0.0000 0.0000 0.5000  2 Ag 2.83, 8 Mg 2.86-2.98
11 Ag 0.5000 0.0000 0.5000  2 Ag 2.83, 8 Mg 2.86-2.98
12 Ag 0.0000 0.5000 0.0000  2 Ag 2.83, 8 Mg 2.86-2.98
13 Ag 0.5000 0.5000 0.0000  2 Ag 2.83, 8 Mg 2.86-2.98

## Properties
Symmetry ... I4/mmm (139)
Calculated total energy ... -33.0 eV for the cell shown
Formation energy from the elements ... -183 meV per atom

***

[2]
DFT (PBE-GGA) results for an optimized crystal structure of Y3MgAg4.

a = 5.0492 Å, b = 7.2046 Å, c = 10.0995 Å
α = 90.00°, β = 90.00°, γ = 90.00°
With the nearest neighbours (Å) after each atom.
Sites, in units of the cell vectors:
1 Y 0.0000 0.0000 0.0000  8 Ag 3.13
2 Y 0.0000 0.0000 0.5000  8 Ag 3.13
3 Y 0.5000 0.0000 0.7500  8 Ag 3.13
4 Y 0.5000 0.0000 0.2500  8 Ag 3.13
5 Y 0.5000 0.5000 0.7500  8 Ag 3.07
6 Y 0.5000 0.5000 0.2500  8 Ag 3.07
7 Mg 0.0000 0.5000 0.0000  8 Ag 3.07
8 Mg 0.0000 0.5000 0.5000  8 Ag 3.07
9 Ag 0.5000 0.7433 0.0000  2 Mg 3.07, 6 Y 3.07-3.13
10 Ag 0.5000 0.7433 0.5000  2 Mg 3.07, 6 Y 3.07-3.13
11 Ag 0.5000 0.2567 0.0000  2 Mg 3.07, 6 Y 3.07-3.13
12 Ag 0.5000 0.2567 0.5000  2 Mg 3.07, 6 Y 3.07-3.13
13 Ag 0.9999 0.7435 0.7500  6 Y 3.07-3.13, 2 Mg 3.07
14 Ag 0.0001 0.7435 0.2500  6 Y 3.07-3.13, 2 Mg 3.07
15 Ag 0.0001 0.2565 0.2500  6 Y 3.07-3.13, 2 Mg 3.07
16 Ag 0.9999 0.2565 0.7500  6 Y 3.07-3.13, 2 Mg 3.07

## Properties
Symmetry ... P4/mmm (123)
Calculated total energy ... -69.5 eV for the cell shown
Formation energy from the elements ... -292 meV per atom

***

[3]
DFT (PBE-GGA) results for an optimized crystal structure of YMgAg6.

a = 4.1595 Å, b = 5.2446 Å, c = 8.0551 Å
α = 77.52°, β = 75.04°, γ = 66.64°
With the nearest neighbours (Å) after each atom.
Sites, in units of the cell vectors:
1 Y 0.0000 0.5000 0.5000  12 Ag 3.03-3.10
2 Mg 0.0000 0.0000 0.0000  12 Ag 2.92-3.02
3 Ag 0.2451 0.8755 0.6344  8 Ag 2.96-3.20, 1 Mg 2.98, 3 Y 3.03-3.05
4 Ag 0.5012 0.2356 0.7620  2 Mg 2.92, 8 Ag 2.94-3.20, 2 Y 3.07
5 Ag 0.2513 0.3787 0.1187  8 Ag 2.92-3.01, 3 Mg 2.99-3.02, 1 Y 3.10
6 Ag 0.4988 0.7644 0.2380  2 Mg 2.92, 8 Ag 2.94-3.20, 2 Y 3.07
7 Ag 0.7549 0.1245 0.3656  8 Ag 2.96-3.20, 1 Mg 2.98, 3 Y 3.03-3.05
8 Ag 0.7487 0.6213 0.8813  8 Ag 2.92-3.01, 3 Mg 2.99-3.02, 1 Y 3.10

## Properties
Symmetry ... C2/m (12)
Calculated total energy ... -26.6 eV for the cell shown
Formation energy from the elements ... -180 meV per atom

***

[4]
DFT (PBE-GGA) results for an optimized crystal structure of Y2MgAg2.

a = 8.5412 Å, b = 8.5412 Å, c = 3.4880 Å
α = 90.00°, β = 90.00°, γ = 90.00°
With the nearest neighbours (Å) after each atom.
Sites, in units of the cell vectors:
1 Y 0.3456 0.8456 0.0000  6 Ag 3.05, 2 Mg 3.23
2 Y 0.8456 0.6544 0.0000  6 Ag 3.05, 2 Mg 3.23
3 Y 0.6544 0.1544 0.0000  6 Ag 3.05, 2 Mg 3.23
4 Y 0.1544 0.3456 0.0000  6 Ag 3.05, 2 Mg 3.23
5 Mg 0.0000 0.0000 0.0000  4 Y 3.23, 2 Mg 3.49
6 Mg 0.5000 0.5000 0.0000  4 Y 3.23, 2 Mg 3.49
7 Ag 0.1381 0.6381 0.5000  6 Y 3.05, 1 Ag 3.34
8 Ag 0.6381 0.8619 0.5000  6 Y 3.05, 1 Ag 3.34
9 Ag 0.8619 0.3619 0.5000  6 Y 3.05, 1 Ag 3.34
10 Ag 0.3619 0.1381 0.5000  6 Y 3.05, 1 Ag 3.34

## Properties
Symmetry ... P4/mbm (127)
ΔE to the lowest computed polymorph ... 0.227 eV per atom
Calculated total energy ... -41.0 eV for the cell shown
Formation energy from the elements ... -54 meV per atom

***

[5]
DFT (PBE-GGA) results for an optimized crystal structure of YMgAg3.

a = 5.4528 Å, b = 5.4528 Å, c = 5.4528 Å
α = 90.00°, β = 90.00°, γ = 90.00°
With the nearest neighbours (Å) after each atom.
Sites, in units of the cell vectors:
1 Y 0.0000 0.0000 0.0000  6 Ag 2.73
2 Mg 0.5000 0.5000 0.5000  12 Ag 3.86
3 Ag 0.0000 0.5000 0.0000  2 Y 2.73
4 Ag 0.0000 0.0000 0.5000  2 Y 2.73
5 Ag 0.5000 0.0000 0.0000  2 Y 2.73

## Properties
Symmetry ... Pm-3m (221)
ΔE to the lowest computed polymorph ... 0.590 eV per atom
Calculated total energy ... -12.6 eV for the cell shown
Formation energy from the elements ... 799 meV per atom

***

[6]
DFT (PBE-GGA) results for an optimized crystal structure of YMg2Ag.

a = 5.5902 Å, b = 6.2528 Å, c = 3.1537 Å
α = 78.06°, β = 84.18°, γ = 114.93°
With the nearest neighbours (Å) after each atom.
Sites, in units of the cell vectors:
1 Ag 0.5000 0.5000 0.0000  4 Y 3.07-3.35, 2 Ag 3.15, 4 Mg 3.20
2 Mg 0.0000 0.0000 0.0000  6 Mg 3.07-3.35, 2 Y 3.20, 2 Ag 3.20
3 Mg 0.5000 0.0000 0.5000  6 Mg 3.07-3.35, 2 Ag 3.20, 2 Y 3.20
4 Y 0.0000 0.5000 0.5000  4 Ag 3.07-3.35, 2 Y 3.15, 4 Mg 3.20

## Properties
Symmetry ... C2/m (12)
Calculated total energy ... -12.5 eV for the cell shown
Formation energy from the elements ... -8 meV per atom

***

[7]
DFT (PBE-GGA) results for an optimized crystal structure of YMg2Ag.

a = 4.4470 Å, b = 3.5031 Å, c = 6.4272 Å
α = 74.17°, β = 90.00°, γ = 90.00°
With the nearest neighbours (Å) after each atom.
Sites, in units of the cell vectors:
1 Y 0.0000 0.5437 0.5374  4 Ag 3.09, 7 Mg 3.27-3.46
2 Mg 0.0000 0.8082 0.0092  2 Ag 2.78, 4 Mg 3.10
3 Mg 0.5000 0.2051 0.2150  4 Mg 3.10, 3 Ag 3.24-3.43, 4 Y 3.46
4 Ag 0.5000 0.9430 0.7384  2 Mg 2.78, 4 Y 3.09

## Properties
Symmetry ... Amm2 (38)
Calculated total energy ... -13.0 eV for the cell shown
Formation energy from the elements ... -126 meV per atom

***

[8]
DFT (PBE-GGA) results for an optimized crystal structure of Y4MgZnAg2.

a = 5.1829 Å, b = 5.1829 Å, c = 8.9860 Å
α = 73.24°, β = 73.24°, γ = 60.00°
With the nearest neighbours (Å) after each atom.
Sites, in units of the cell vectors:
1 Y 0.3807 0.3807 0.8579  1 Zn 3.03, 4 Ag 3.08-3.15, 3 Mg 3.23
2 Y 0.8700 0.8700 0.3899  3 Zn 3.13, 4 Ag 3.22-3.28, 1 Mg 3.30
3 Y 0.1300 0.1300 0.6101  3 Zn 3.13, 4 Ag 3.22-3.28, 1 Mg 3.30
4 Y 0.6193 0.6193 0.1421  1 Zn 3.03, 4 Ag 3.08-3.15, 3 Mg 3.23
5 Mg 0.0000 0.0000 0.0000  8 Y 3.23-3.30, 6 Ag 3.57
6 Zn 0.5000 0.5000 0.5000  8 Y 3.03-3.13
7 Ag 0.7434 0.7434 0.7698  8 Y 3.08-3.28
8 Ag 0.2566 0.2566 0.2302  8 Y 3.08-3.28

## Properties
Symmetry ... R-3m (166)
Calculated total energy ... -36.5 eV for the cell shown
Formation energy from the elements ... -262 meV per atom

***

[9]
DFT (PBE-GGA) results for an optimized crystal structure of YMgZnAg.

a = 4.8968 Å, b = 4.8968 Å, c = 4.8968 Å
α = 60.00°, β = 60.00°, γ = 60.00°
With the nearest neighbours (Å) after each atom.
Sites, in units of the cell vectors:
1 Y 0.0000 0.0000 0.0000  4 Ag 3.00, 4 Zn 3.00
2 Zn 0.2500 0.2500 0.2500  4 Y 3.00, 4 Mg 3.00
3 Mg 0.5000 0.5000 0.5000  4 Zn 3.00, 4 Ag 3.00
4 Ag 0.7500 0.7500 0.7500  4 Y 3.00, 4 Mg 3.00

## Properties
Symmetry ... F-43m (216)
Calculated total energy ... -13.5 eV for the cell shown
Formation energy from the elements ... -331 meV per atom

***

[10]
DFT (PBE-GGA) results for an optimized crystal structure of YMgZn2Ag5.

a = 4.8250 Å, b = 4.8250 Å, c = 7.7847 Å
α = 90.00°, β = 90.00°, γ = 90.00°
With the nearest neighbours (Å) after each atom.
Sites, in units of the cell vectors:
1 Y 0.0000 0.0000 0.5000  12 Ag 3.06-3.41
2 Mg 0.0000 0.0000 0.0000  8 Ag 3.14
3 Zn 0.5000 0.5000 0.1527  1 Zn 2.38, 4 Ag 2.55
4 Zn 0.5000 0.5000 0.8473  1 Zn 2.38, 4 Ag 2.55
5 Ag 0.0000 0.5000 0.2587  2 Zn 2.55
6 Ag 0.5000 0.0000 0.2587  2 Zn 2.55
7 Ag 0.0000 0.5000 0.7413  2 Zn 2.55
8 Ag 0.5000 0.0000 0.7413  2 Zn 2.55
9 Ag 0.5000 0.5000 0.5000  2 Zn 2.70

## Properties
Symmetry ... P4/mmm (123)
Calculated total energy ... -25.2 eV for the cell shown
Formation energy from the elements ... -38 meV per atom

***

[11]
DFT (PBE-GGA) results for an optimized crystal structure of Mg2Zn8Ag3.

a = 5.0537 Å, b = 5.0537 Å, c = 10.5492 Å
α = 76.14°, β = 76.14°, γ = 60.00°
With the nearest neighbours (Å) after each atom.
Sites, in units of the cell vectors:
1 Mg 0.6417 0.6417 0.0748  4 Zn 2.66-2.84
2 Mg 0.3583 0.3583 0.9252  4 Zn 2.66-2.84
3 Zn 0.7291 0.7291 0.8126  1 Mg 2.66, 1 Ag 2.70, 6 Zn 2.84
4 Zn 0.2709 0.2709 0.1874  1 Mg 2.66, 1 Ag 2.70, 6 Zn 2.84
5 Zn 0.2292 0.7276 0.3157  4 Zn 2.52-2.54, 1 Ag 2.76
6 Zn 0.7276 0.2292 0.3157  4 Zn 2.52-2.54, 1 Ag 2.76
7 Zn 0.7276 0.7276 0.3157  4 Zn 2.52-2.54, 1 Ag 2.76
8 Zn 0.2724 0.7708 0.6843  4 Zn 2.52-2.54, 1 Ag 2.76
9 Zn 0.7708 0.2724 0.6843  4 Zn 2.52-2.54, 1 Ag 2.76
10 Zn 0.2724 0.2724 0.6843  4 Zn 2.52-2.54, 1 Ag 2.76
11 Ag 0.0000 0.0000 0.0000  6 Mg 3.01
12 Ag 0.8179 0.8179 0.5463  10 Zn 2.70-2.89
13 Ag 0.1821 0.1821 0.4537  10 Zn 2.70-2.89

## Properties
Symmetry ... R-3m (166)
Calculated total energy ... -21.9 eV for the cell shown
Formation energy from the elements ... 3 meV per atom

***

[12]
DFT (PBE-GGA) results for an optimized crystal structure of MgZn2Ag.

a = 4.3162 Å, b = 2.9192 Å, c = 5.5760 Å
α = 74.44°, β = 90.00°, γ = 90.00°
With the nearest neighbours (Å) after each atom.
Sites, in units of the cell vectors:
1 Zn 0.0000 0.1878 0.9987  2 Zn 2.56, 1 Ag 2.80
2 Zn 0.5000 0.0591 0.2538  2 Zn 2.56, 1 Mg 2.78, 2 Ag 2.86
3 Mg 0.5000 0.8046 0.7710  7 Zn 2.78-2.98, 2 Mg 2.92, 4 Ag 3.04-3.06
4 Ag 0.0000 0.4485 0.4766  7 Zn 2.80-2.96, 2 Ag 2.92, 4 Mg 3.04-3.06

## Properties
Symmetry ... Pm (6)
Calculated total energy ... -7.3 eV for the cell shown
Formation energy from the elements ... -86 meV per atom

***

> What is the formation energy from the elements in the fourth record?

-54 meV per atom

***

> Among the records above, which one has the lowest calculated total energy?

Y3MgAg4

***

Copy entry 5 word for word.
DFT (PBE-GGA) results for an optimized crystal structure of YMgAg3.

a = 5.4528 Å, b = 5.4528 Å, c = 5.4528 Å
α = 90.00°, β = 90.00°, γ = 90.00°
With the nearest neighbours (Å) after each atom.
Sites, in units of the cell vectors:
1 Y 0.0000 0.0000 0.0000  6 Ag 2.73
2 Mg 0.5000 0.5000 0.5000  12 Ag 3.86
3 Ag 0.0000 0.5000 0.0000  2 Y 2.73
4 Ag 0.0000 0.0000 0.5000  2 Y 2.73
5 Ag 0.5000 0.0000 0.0000  2 Y 2.73

## Properties
Symmetry ... Pm-3m (221)
ΔE to the lowest computed polymorph ... 0.590 eV per atom
Calculated total energy ... -12.6 eV for the cell shown
Formation energy from the elements ... 799 meV per atom